# CsCaAgO2

A relaxed CsCaAgO2 crystal (GGA-PBE, the Alexandria database).

a = 7.4227 Å, b = 7.4227 Å, c = 5.4831 Å
α = 90.00°, β = 90.00°, γ = 128.34°
Closest atoms and distances in Å follow each position.
Positions (direct):
Cs1 0.2500 0.7500 0.7583  2 O 3.18
Cs2 0.7500 0.2500 0.2417  2 O 3.18
Ca1 0.2500 0.2500 0.0000  4 O 2.28
Ca2 0.7500 0.7500 0.0000  4 O 2.28
Ag1 0.0000 0.0000 0.5000  2 O 2.09
Ag2 0.5000 0.5000 0.5000  2 O 2.09
O1 0.0910 0.9090 0.1907  1 Ag 2.09, 2 Ca 2.28
O2 0.4090 0.5910 0.1907  1 Ag 2.09, 2 Ca 2.28
O3 0.5910 0.4090 0.8093  1 Ag 2.09, 2 Ca 2.28
O4 0.9090 0.0910 0.8093  1 Ag 2.09, 2 Ca 2.28

Calculated values
E_form (uncorrected) (eV/atom): -1.48
N(E_F) (states/eV/atom): 0.00
Spin magnetization (μB/f.u.): 0.00
Calculated volume (Å³/f.u.): 118.47

=====

# TlAsPd4

A relaxed TlAsPd4 crystal (GGA-PBE, the Alexandria database).

a = 7.1706 Å, b = 7.1706 Å, c = 5.3759 Å
α = 92.21°, β = 92.21°, γ = 51.78°
Closest atoms and distances in Å follow each position.
Positions (direct):
Tl1 0.1544 0.8456 0.7500  8 Pd 2.85-2.99
Tl2 0.8456 0.1544 0.2500  8 Pd 2.85-2.99
As1 0.0000 0.5000 0.0000  6 Pd 2.40-2.50
As2 0.5000 0.0000 0.5000  6 Pd 2.40-2.50
Pd1 0.0733 0.2800 0.5980  2 As 2.47-2.50
Pd2 0.2800 0.0733 0.0980  2 As 2.47-2.50
Pd3 0.3556 0.4510 0.1072  1 As 2.40
Pd4 0.4510 0.3556 0.6072  1 As 2.40
Pd5 0.5490 0.6444 0.3928  1 As 2.40
Pd6 0.6444 0.5490 0.8928  1 As 2.40
Pd7 0.7200 0.9267 0.9020  2 As 2.47-2.50
Pd8 0.9267 0.7200 0.4020  2 As 2.47-2.50

Calculated values
Excess energy over the best structure of this formula in the dataset (meV/atom): 99
N(E_F) (states/eV/atom): 0.37
ΔH_f (0 K) (eV/atom): -0.195
Spin magnetization (μB/f.u.): 0.00
Calculated volume (Å³/f.u.): 108.48

=====

# ZnRe2Br

A relaxed ZnRe2Br crystal (GGA-PBE, the Alexandria database).

a = 3.5884 Å, b = 4.5380 Å, c = 5.3857 Å
α = 90.00°, β = 101.79°, γ = 90.00°
Closest atoms and distances in Å follow each position.
Positions (direct):
Zn1 0.0000 0.0000 0.0000  4 Re 2.58
Re1 0.3080 0.5000 0.1460  2 Re 2.29-2.44
Re2 0.6920 0.5000 0.8540  2 Re 2.29-2.44
Br1 0.5000 0.0000 0.5000  2 Zn 2.91, 4 Re 2.95

Calculated values
E_form (uncorrected) (eV/atom): 0.85
Excess energy over the best structure of this formula in the dataset (meV/atom): 586
N(E_F) (states/eV/atom): 0.57
Spin magnetization (μB/f.u.): 0.00
Calculated volume (Å³/f.u.): 85.85

=====

# LiTl2GeSb2

A relaxed LiTl2GeSb2 crystal (GGA-PBE, the Alexandria database).

a = 9.0878 Å, b = 9.0878 Å, c = 9.0878 Å
α = 137.22°, β = 61.95°, γ = 137.42°
Closest atoms and distances in Å follow each position.
Positions (direct):
Li1 0.2500 0.2500 0.0000  4 Sb 2.93
Li2 0.7500 0.7500 0.0000  4 Sb 2.93
Tl1 0.1754 0.2458 0.4212  5 Sb 3.38-3.54, 2 Li 3.58, 2 Ge 3.61
Tl2 0.3246 0.7458 0.0704  5 Sb 3.38-3.54, 2 Li 3.58, 2 Ge 3.61
Tl3 0.6754 0.2542 0.9296  5 Sb 3.38-3.54, 2 Li 3.58, 2 Ge 3.61
Tl4 0.8246 0.7542 0.5788  5 Sb 3.38-3.54, 2 Li 3.58, 2 Ge 3.61
Ge1 0.2500 0.7500 0.5000  4 Sb 2.83
Ge2 0.7500 0.2500 0.5000  4 Sb 2.83
Sb1 0.1078 0.7362 0.8439  2 Ge 2.83, 2 Li 2.93
Sb2 0.3922 0.2362 0.6284  2 Ge 2.83, 2 Li 2.93
Sb3 0.6078 0.7638 0.3716  2 Ge 2.83, 2 Li 2.93
Sb4 0.8922 0.2638 0.1561  2 Ge 2.83, 2 Li 2.93

Calculated values
E_form (uncorrected) (eV/atom): -0.11
N(E_F) (states/eV/atom): 0.31
Spin magnetization (μB/f.u.): 0.00
Calculated volume (Å³/f.u.): 170.45

=====

no.,VASP energy (eV/cell)
1,-46.05
2,-57.92
3,-24.43
4,-40.34